1.
First-principles (GGA+U) data for CaCoSb2F after structural relaxation, as listed in Alexandria via LeMat-Bulk.

abc: 5.7728 4.9304 5.7728
angles: 90.00 90.00 90.00
With the nearest neighbours (Å) after each atom.
Fractional coordinates of all 5 atoms:
Sb (0.0000, 0.0000, 0.5000)  2 Ca 2.89
Sb (0.5000, 0.0000, 0.0000)  2 Ca 2.89
Ca (0.0000, 0.0000, 0.0000)  2 Co 2.47
Co (0.0000, 0.5000, 0.0000)  2 Ca 2.47
F (0.5000, 0.5000, 0.5000)  8 Sb 3.80, 4 Co 4.08

Computed properties:
- N(E_F): 0.88 states/eV/atom
- Total DFT energy (no corrections): -12.9 eV for the cell shown
- Total magnetization: 1.986 μB/cell

***

2.
First-principles (GGA+U) data for CaScCo2F after structural relaxation, as listed in Alexandria via LeMat-Bulk.

abc: 4.8141 4.1917 4.8141
angles: 90.00 90.00 90.00
With the nearest neighbours (Å) after each atom.
Fractional coordinates of all 5 atoms:
Co (0.0000, 0.0000, 0.5000)  2 F 2.41
Co (0.5000, 0.0000, 0.0000)  2 F 2.41
Ca (0.0000, 0.5000, 0.0000)  2 F 2.10
F (0.0000, 0.0000, 0.0000)  2 Ca 2.10
Sc (0.5000, 0.5000, 0.5000)  8 Co 3.19, 4 Ca 3.40

Computed properties:
- N(E_F): 0.49 states/eV/atom
- Total DFT energy (no corrections): -21.9 eV for the cell shown
- Total magnetization: 3.427 μB/cell

***

3.
First-principles (GGA+U) data for CaCo2SnF after structural relaxation, as listed in Alexandria via LeMat-Bulk.

abc: 5.5351 4.0514 5.5351
angles: 90.00 90.00 90.00
With the nearest neighbours (Å) after each atom.
Fractional coordinates of all 5 atoms:
F (0.0000, 0.5000, 0.0000)  2 Ca 2.03
Co (0.0000, 0.0000, 0.5000)  2 Ca 2.77
Co (0.5000, 0.0000, 0.0000)  2 Ca 2.77
Ca (0.0000, 0.0000, 0.0000)  2 F 2.03
Sn (0.5000, 0.5000, 0.5000)  8 Co 3.43

Computed properties:
- N(E_F): 0.51 states/eV/atom
- Total DFT energy (no corrections): -17.7 eV for the cell shown
- Total magnetization: 3.850 μB/cell

***

4.
First-principles (GGA+U) data for SrCa2CoF8 after structural relaxation, as listed in Alexandria via LeMat-Bulk.

abc: 3.9844 5.4720 7.6473
angles: 90.17 89.98 93.19
With the nearest neighbours (Å) after each atom.
Fractional coordinates of all 12 atoms:
F (0.5466, 0.7670, 0.0006)  1 Co 2.15, 2 Ca 2.32
F (0.4534, 0.2330, 0.9994)  1 Co 2.15, 2 Ca 2.32
F (0.0246, 0.7542, 0.7753)  1 Co 2.18, 2 Ca 2.41-2.45
F (0.5074, 0.2649, 0.4995)  2 Ca 2.40, 2 Sr 2.42-2.50, 1 F 2.58
F (0.9755, 0.2484, 0.7746)  1 Co 2.20, 2 Ca 2.41-2.44
F (0.4926, 0.7351, 0.5005)  2 Ca 2.40, 2 Sr 2.42-2.50, 1 F 2.58
F (0.9754, 0.2458, 0.2247)  1 Co 2.18, 2 Ca 2.41-2.45
F (0.0245, 0.7516, 0.2254)  1 Co 2.20, 2 Ca 2.41-2.44
Ca (0.5000, 0.5003, 0.7642)  8 F 2.32-2.45
Ca (0.5000, 0.4997, 0.2358)  8 F 2.32-2.45
Sr (0.0000, 0.0000, 0.5000)  8 F 2.42-2.51
Co (0.0000, 0.0000, 0.0000)  6 F 2.15-2.20

Computed properties:
- N(E_F): 0.00 states/eV/atom
- Total DFT energy (no corrections): -67.0 eV for the cell shown
- Total magnetization: 3.000 μB/cell

***

5.
First-principles (GGA+U) data for CaTiCoF2 after structural relaxation, as listed in Alexandria via LeMat-Bulk.

abc: 4.0097 9.0926 4.0097
angles: 90.00 90.00 90.00
With the nearest neighbours (Å) after each atom.
Fractional coordinates of all 5 atoms:
Co (0.5000, 0.5000, 0.5000)  4 Ti 2.84
F (0.0000, 0.0000, 0.5000)  2 Ca 2.00
F (0.5000, 0.0000, 0.0000)  2 Ca 2.00
Ti (0.0000, 0.5000, 0.0000)  4 Co 2.84
Ca (0.0000, 0.0000, 0.0000)  4 F 2.00

Computed properties:
- N(E_F): 1.20 states/eV/atom
- Total DFT energy (no corrections): -22.4 eV for the cell shown
- Total magnetization: 0.000 μB/cell

***

6.
First-principles (GGA+U) data for CaTlCoF6 after structural relaxation, as listed in Alexandria via LeMat-Bulk.

abc: 7.6687 7.3104 7.2612
angles: 120.22 121.87 90.00
With the nearest neighbours (Å) after each atom.
Fractional coordinates of all 18 atoms:
F (0.1369, 0.8869, 0.2738)  2 Ca 2.22
F (0.4589, 0.6030, 0.2603)  1 Co 1.85
F (0.1985, 0.8427, 0.7397)  1 Co 1.85
F (0.8015, 0.1573, 0.2603)  1 Co 1.85
F (0.8015, 0.6030, 0.2603)  1 Co 1.85
F (0.1985, 0.3970, 0.7397)  1 Co 1.85
F (0.5411, 0.3970, 0.7397)  1 Co 1.85
F (0.5411, 0.8427, 0.7397)  1 Co 1.85
F (0.8631, 0.1131, 0.7262)  2 Ca 2.22
F (0.4417, 0.1917, 0.8835)  2 Co 1.92
F (0.5583, 0.8083, 0.1165)  2 Co 1.92
F (0.4589, 0.1573, 0.2603)  1 Co 1.85
Tl (0.8538, 0.6038, 0.7077)  9 F 2.81-3.05
Tl (0.1462, 0.3962, 0.2923)  9 F 2.81-3.05
Co (0.5000, 0.5000, 0.0000)  6 F 1.85-1.92
Co (0.5000, 0.0000, 0.0000)  6 F 1.85-1.92
Ca (0.0000, 0.0000, 0.5000)  6 F 2.22-2.43
Ca (0.5000, 0.0000, 0.5000)  6 F 2.22-2.43

Computed properties:
- N(E_F): 0.00 states/eV/atom
- Total DFT energy (no corrections): -87.0 eV for the cell shown
- Total magnetization: 0.073 μB/cell